Entry 1:
Ac2YZn PBE optimized geometry; DFT formation energy = -0.6 kJ/mol of atoms; offset from the most stable computed form = 84 meV/atom; space-group type = P4/mmm (123); crystal system = tetragonal
1.0
3.941 0.000 0.000
0.000 5.878 0.000
0.000 0.000 5.878
Y Ac Zn
1 2 1
direct
0.500 0.000 0.000
0.000 0.500 0.000
0.000 0.000 0.500
0.500 0.500 0.500

Entry 2:
SrMg2Ni PBE optimized geometry; DFT formation energy = 1.2 kJ/mol of atoms; space-group type = R-3m (166); crystal system = trigonal
1.0
6.402 -0.064 -0.040
4.843 4.187 -0.040
4.843 1.776 3.792
Mg Sr Ni
2 1 1
direct
0.549 0.549 0.549
0.951 0.951 0.951
0.750 0.750 0.750
0.250 0.250 0.250

Entry 3:
Os2PbBr PBE optimized geometry; offset from the most stable computed form = 637 meV/atom; space-group type = Imm2 (44); crystal system = orthorhombic; formation energy (no corrections) = 1126 meV/atom
1.0
-3.640 -4.449 4.084
-3.797 -5.856 -1.003
5.756 4.064 -0.262
Os Br Pb
2 1 1
direct
0.220 0.720 0.500
0.061 0.061 0.000
0.756 0.256 0.500
0.462 0.462 0.000

Entry 4:
Pm3Pr12Ho PBE optimized geometry; DFT formation energy = 1.1 kJ/mol of atoms; space-group type = P4/mmm (123); crystal system = tetragonal
1.0
5.220 0.000 0.000
0.000 5.220 0.000
0.000 0.000 20.839
Ho Pm Pr
1 3 12
direct
0.000 0.000 0.000
0.000 0.000 0.249
0.000 0.000 0.751
0.000 0.000 0.500
0.500 0.500 0.500
0.500 0.500 0.751
0.500 0.500 0.249
0.000 0.500 0.625
0.000 0.500 0.877
0.000 0.500 0.375
0.500 0.000 0.123
0.500 0.000 0.877
0.500 0.000 0.625
0.500 0.500 0.000
0.000 0.500 0.123
0.500 0.000 0.375

Number 1: volume 34.04 A^3/atom, calculated total energy -0.294 Ry/atom. Number 2: volume 25.94 A^3/atom, calculated total energy -0.195 Ry/atom. Number 3: volume 21.08 A^3/atom, calculated total energy -0.429 Ry/atom. Number 4: volume 35.49 A^3/atom, calculated total energy -0.349 Ry/atom.